No. 1
{"formula": "Ac6CuSn3", "functional": "GGA-PBE", "state": "relaxed", "lattice_angstrom": [[6.834, 0.000, 0.000], [0.000, 9.379, 0.000], [-6.653, 0.000, 11.804]], "species": ["Ac", "Ac", "Ac", "Ac", "Ac", "Ac", "Ac", "Ac", "Ac", "Ac", "Ac", "Ac", "Cu", "Cu", "Sn", "Sn", "Sn", "Sn", "Sn", "Sn"], "fractional_positions": [[0.049, 0.182, 0.438], [0.049, 0.318, 0.938], [0.307, 0.666, 0.433], [0.307, 0.834, 0.933], [0.364, 0.043, 0.237], [0.364, 0.457, 0.737], [0.636, 0.543, 0.263], [0.636, 0.957, 0.763], [0.693, 0.166, 0.067], [0.693, 0.334, 0.567], [0.951, 0.682, 0.062], [0.951, 0.818, 0.562], [0.000, 0.000, 0.000], [0.000, 0.500, 0.500], [0.159, 0.119, 0.747], [0.159, 0.381, 0.247], [0.500, 0.000, 0.500], [0.500, 0.500, 0.000], [0.841, 0.619, 0.753], [0.841, 0.881, 0.253]], "e_form_ev_per_atom": -0.39, "sg": "P2_1/c, No. 14", "volume_a3_per_cell": 756.58}

***

No. 2
{"formula": "AcCuSn2", "functional": "GGA-PBE", "state": "relaxed", "lattice_angstrom": [[3.705, 0.000, 0.000], [0.000, 3.705, 0.000], [0.000, 0.000, 7.565]], "species": ["Ac", "Cu", "Sn", "Sn"], "fractional_positions": [[0.000, 0.000, 0.000], [0.000, 0.000, 0.500], [0.500, 0.500, 0.311], [0.500, 0.500, 0.689]], "e_form_ev_per_atom": -0.17, "sg": "P4/mmm, No. 123", "volume_a3_per_cell": 103.83}

***

No. 3
{"formula": "AcCu4Sn12", "functional": "GGA-PBE", "state": "relaxed", "lattice_angstrom": [[-4.731, 4.731, 4.731], [4.731, -4.731, 4.731], [4.731, 4.731, -4.731]], "species": ["Ac", "Cu", "Cu", "Cu", "Cu", "Sn", "Sn", "Sn", "Sn", "Sn", "Sn", "Sn", "Sn", "Sn", "Sn", "Sn", "Sn"], "fractional_positions": [[0.000, 0.000, 0.000], [0.000, 0.000, 0.500], [0.000, 0.500, 0.000], [0.500, 0.000, 0.000], [0.500, 0.500, 0.500], [0.164, 0.344, 0.507], [0.164, 0.656, 0.820], [0.180, 0.836, 0.344], [0.344, 0.180, 0.836], [0.344, 0.507, 0.164], [0.493, 0.836, 0.656], [0.507, 0.164, 0.344], [0.656, 0.493, 0.836], [0.656, 0.820, 0.164], [0.820, 0.164, 0.656], [0.836, 0.344, 0.180], [0.836, 0.656, 0.493]], "e_form_ev_per_atom": -0.09, "sg": "Im-3, No. 204", "volume_a3_per_cell": 423.61}

***

No. 4
{"formula": "Ac2Cu3Sn5", "functional": "GGA-PBE", "state": "relaxed", "lattice_angstrom": [[-5.355, 6.835, 3.372], [5.355, -6.835, 3.372], [5.355, 6.835, -3.372]], "species": ["Ac", "Ac", "Ac", "Ac", "Cu", "Cu", "Cu", "Cu", "Cu", "Cu", "Sn", "Sn", "Sn", "Sn", "Sn", "Sn", "Sn", "Sn", "Sn", "Sn"], "fractional_positions": [[0.126, 0.242, 0.368], [0.374, 0.742, 0.116], [0.626, 0.258, 0.884], [0.874, 0.758, 0.632], [0.123, 0.626, 0.749], [0.250, 0.250, 0.000], [0.377, 0.126, 0.503], [0.623, 0.874, 0.497], [0.750, 0.750, 0.000], [0.877, 0.374, 0.251], [0.011, 0.750, 0.261], [0.109, 0.865, 0.975], [0.250, 0.750, 0.500], [0.391, 0.365, 0.756], [0.489, 0.750, 0.739], [0.511, 0.250, 0.261], [0.609, 0.635, 0.244], [0.750, 0.250, 0.500], [0.891, 0.135, 0.025], [0.989, 0.250, 0.739]], "e_form_ev_per_atom": -0.40, "sg": "Ibam, No. 72", "volume_a3_per_cell": 493.65}

***

No. 5
{"formula": "AcCuSn2", "functional": "GGA-PBE", "state": "relaxed", "lattice_angstrom": [[2.359, -9.450, 0.000], [2.359, 9.450, 0.000], [0.000, 0.000, 4.721]], "species": ["Ac", "Ac", "Cu", "Cu", "Sn", "Sn", "Sn", "Sn"], "fractional_positions": [[0.108, 0.892, 0.750], [0.892, 0.108, 0.250], [0.320, 0.680, 0.750], [0.680, 0.320, 0.250], [0.250, 0.750, 0.250], [0.456, 0.544, 0.750], [0.544, 0.456, 0.250], [0.750, 0.250, 0.750]], "e_form_ev_per_atom": -0.53, "sg": "Cmcm, No. 63", "volume_a3_per_cell": 210.52}

***

No. 6
{"formula": "Ac4CuSn2", "functional": "GGA-PBE", "state": "relaxed", "lattice_angstrom": [[6.275, -2.475, 0.000], [6.275, 2.475, 0.000], [-5.171, 0.000, 8.021]], "species": ["Ac", "Ac", "Ac", "Ac", "Cu", "Sn", "Sn"], "fractional_positions": [[0.081, 0.081, 0.362], [0.322, 0.322, 0.929], [0.678, 0.678, 0.071], [0.919, 0.919, 0.638], [0.000, 0.000, 0.000], [0.365, 0.365, 0.346], [0.635, 0.635, 0.654]], "e_form_ev_per_atom": -0.43, "sg": "C2/m, No. 12", "volume_a3_per_cell": 249.17}

***

No. 7
{"formula": "Ac2CuSn2", "functional": "GGA-PBE", "state": "relaxed", "lattice_angstrom": [[6.074, -2.343, 0.000], [6.074, 2.343, 0.000], [-5.623, 0.000, 10.782]], "species": ["Ac", "Ac", "Ac", "Ac", "Cu", "Cu", "Sn", "Sn", "Sn", "Sn"], "fractional_positions": [[0.098, 0.098, 0.402], [0.296, 0.296, 0.855], [0.704, 0.704, 0.145], [0.902, 0.902, 0.598], [0.434, 0.434, 0.187], [0.566, 0.566, 0.813], [0.042, 0.042, 0.906], [0.371, 0.371, 0.376], [0.629, 0.629, 0.624], [0.958, 0.958, 0.094]], "e_form_ev_per_atom": -0.57, "sg": "C2/m, No. 12", "volume_a3_per_cell": 306.90}

***

No. 8
{"formula": "AcCuSn2", "functional": "GGA-PBE", "state": "relaxed", "lattice_angstrom": [[2.871, 1.658, 3.957], [-2.871, 1.658, 3.957], [0.000, -3.316, 3.957]], "species": ["Ac", "Cu", "Sn", "Sn"], "fractional_positions": [[0.000, 0.000, 0.000], [0.500, 0.500, 0.500], [0.279, 0.279, 0.279], [0.721, 0.721, 0.721]], "e_form_ev_per_atom": -0.12, "sg": "R-3m, No. 166", "volume_a3_per_cell": 113.03}

***

No. 9
{"formula": "Ac8CuSn2", "functional": "GGA-PBE", "state": "relaxed", "lattice_angstrom": [[10.400, -2.732, 0.000], [10.400, 2.732, 0.000], [-1.757, 0.000, 7.357]], "species": ["Ac", "Ac", "Ac", "Ac", "Ac", "Ac", "Ac", "Ac", "Cu", "Sn", "Sn"], "fractional_positions": [[0.017, 0.017, 0.281], [0.213, 0.213, 0.824], [0.350, 0.350, 0.506], [0.408, 0.408, 0.028], [0.592, 0.592, 0.972], [0.650, 0.650, 0.494], [0.787, 0.787, 0.176], [0.983, 0.983, 0.719], [0.500, 0.500, 0.500], [0.183, 0.183, 0.257], [0.817, 0.817, 0.743]], "e_form_ev_per_atom": -0.24, "sg": "C2/m, No. 12", "volume_a3_per_cell": 418.08}

***

No. 10
{"formula": "Ac3Cu4Sn", "functional": "GGA-PBE", "state": "relaxed", "lattice_angstrom": [[-2.175, 3.259, 7.678], [2.175, -3.259, 7.678], [2.175, 3.259, -7.678]], "species": ["Ac", "Ac", "Ac", "Cu", "Cu", "Cu", "Cu", "Sn"], "fractional_positions": [[0.000, 0.000, 0.000], [0.313, 0.813, 0.500], [0.687, 0.187, 0.500], [0.065, 0.377, 0.688], [0.311, 0.623, 0.688], [0.689, 0.377, 0.312], [0.935, 0.623, 0.312], [0.500, 0.500, 0.000]], "e_form_ev_per_atom": -0.14, "sg": "Immm, No. 71", "volume_a3_per_cell": 217.72}

***

No. 11
{"formula": "Ac2Cu2Sn3", "functional": "GGA-PBE", "state": "relaxed", "lattice_angstrom": [[5.562, -2.273, 0.000], [5.562, 2.273, 0.000], [-2.658, 0.000, 7.250]], "species": ["Ac", "Ac", "Cu", "Cu", "Sn", "Sn", "Sn"], "fractional_positions": [[0.149, 0.149, 0.289], [0.851, 0.851, 0.711], [0.155, 0.155, 0.770], [0.845, 0.845, 0.230], [0.385, 0.385, 0.058], [0.500, 0.500, 0.500], [0.615, 0.615, 0.942]], "e_form_ev_per_atom": -0.42, "sg": "C2/m, No. 12", "volume_a3_per_cell": 183.36}

***

No. 12
{"formula": "Ac4CuSn2", "functional": "GGA-PBE", "state": "relaxed", "lattice_angstrom": [[-2.723, 2.723, 9.036], [2.723, -2.723, 9.036], [2.723, 2.723, -9.036]], "species": ["Ac", "Ac", "Ac", "Ac", "Cu", "Sn", "Sn"], "fractional_positions": [[0.000, 0.500, 0.500], [0.180, 0.180, 0.000], [0.500, 0.000, 0.500], [0.820, 0.820, 0.000], [0.000, 0.000, 0.000], [0.366, 0.366, 0.000], [0.634, 0.634, 0.000]], "e_form_ev_per_atom": -0.30, "sg": "I4/mmm, No. 139", "volume_a3_per_cell": 268.09}